No. 1
4
Lattice="4.9461 0.0000 0.0000 2.4730 4.2834 0.0000 2.4730 1.4278 4.0385" Properties=species:S:1:pos:R:3 comment="LuPaReAg (PBE, optimized geometry)" dos_at_fermi_per_ev_atom=1.426 crystal_system=cubic formation_energy_mev_per_atom=40 sg="F-43m, No. 216" vol_a3_per_cell=85.56 pbc="T T T"
Pa 2.4730 1.4278 1.0096
Ag 4.9461 2.8556 2.0192
Lu 7.4191 4.2834 3.0288
Re 0.0000 0.0000 0.0000

=====

No. 2
15
Lattice="-2.9275 5.0698 -4.8977 5.1592 -5.0851 -2.3998 -7.7479 -2.9020 1.6272" Properties=species:S:1:pos:R:3 comment="Na3Hf3ScSe8 (PBE, optimized geometry)" dos_at_fermi_per_ev_atom=0.345 energy_ev_per_atom=-5.909 crystal_system=trigonal sg="R-3m, No. 166" vol_a3_per_cell=362.61 pbc="T T T"
Se -3.7829 -3.3234 -1.1790
Se -0.2373 -2.1262 -2.0590
Se -1.7333 0.4061 -4.4913
Na 0.0000 0.0000 0.0000
Hf -2.7581 -1.4587 -2.8352
Na 2.5796 -2.5425 -1.1999
Se -2.8329 0.4138 -0.8910
Hf -1.2944 -3.9936 -0.3863
Se -1.2387 -5.8329 -2.3624
Hf -5.3377 1.0839 -1.6352
Sc -3.8740 -1.4510 0.8136
Se -2.6833 -3.3312 -4.7793
Na 1.1158 -0.0076 -3.6488
Se -5.2790 -0.7911 -3.6113
Se -4.2776 2.9156 -3.3079

=====

No. 3
4
Lattice="4.0434 0.0000 0.0000 2.0217 3.5017 0.0000 2.0217 1.1672 7.2940" Properties=species:S:1:pos:R:3 comment="TbNdSe2 (PBE, optimized geometry)" dos_at_fermi_per_ev_atom=0.305 crystal_system=trigonal de_polymorph_mev_per_atom=33 sg="R3m, No. 160" vol_a3_per_cell=103.27 pbc="T T T"
Nd 6.0650 3.5017 7.1813
Tb 4.0434 2.3344 3.7598
Se 2.0217 1.1672 1.8726
Se 2.0217 1.1672 5.4213

=====

No. 4
11
Lattice="-0.4182 3.5292 -1.6219 -10.4141 -1.3365 -0.2227 4.8444 2.1551 8.1446" Properties=species:S:1:pos:R:3 comment="Ce4Y3Sn4 (PBE, optimized geometry)" dos_at_fermi_per_ev_atom=1.486 crystal_system=orthorhombic formation_energy_mev_per_atom=-414 sg="Immm, No. 71" vol_a3_per_cell=325.79 pbc="T T T"
Sn -5.4606 0.7738 3.0919
Y -5.2070 -0.6683 -0.1114
Ce -3.2480 2.6555 1.9113
Sn -2.3861 1.4852 -0.8575
Ce 2.0370 2.3053 4.4909
Ce -2.7399 1.6922 4.3887
Y -0.1291 0.7340 1.6305
Ce -8.0249 2.0425 1.8091
Sn -8.4463 0.7074 -0.9871
Y -5.8588 3.6138 4.6695
Sn -0.5273 3.5740 3.2081

=====

No. 5
8
Lattice="-1.4217 3.8611 0.5801 -6.7569 -2.4253 -0.4161 -2.3019 -1.9461 7.3115" Properties=species:S:1:pos:R:3 comment="Ho2SiI (PBE, optimized geometry)" dos_at_fermi_per_ev_atom=0.676 crystal_system=trigonal de_polymorph_mev_per_atom=23 sg="R3m, No. 160" vol_a3_per_cell=225.20 pbc="T T T"
Si -7.0461 -1.0131 5.3127
Ho -4.8029 -0.4272 6.9108
Ho -5.2004 -2.3268 3.6973
I -0.6804 -0.3628 1.7138
Ho -2.5330 0.8168 4.1954
Ho -7.4707 -3.5705 6.4126
Si -2.9568 -1.7308 5.2308
I -4.7686 0.3524 1.7953

=====

No. 6
10
Lattice="-2.4318 -2.8855 -1.1756 1.1669 -3.7711 0.1980 -6.9118 -3.3734 15.9336" Properties=species:S:1:pos:R:3 comment="HoPa4Se5 (PBE, optimized geometry)" dos_at_fermi_per_ev_atom=1.729 energy_ev_per_atom=-7.300 crystal_system=trigonal sg="R-3m, No. 166" vol_a3_per_cell=237.36 pbc="T T T"
Pa -7.1066 -7.6957 13.6571
Pa -3.2086 -7.0023 3.8916
Se -5.1388 -7.3457 8.7274
Se 0.0000 0.0000 0.0000
Se -2.1392 -4.6682 2.5948
Pa -1.0702 -2.3342 1.2989
Se -6.0376 -5.3617 12.3612
Se -3.0379 -2.6843 6.2286
Ho -4.0884 -5.0150 7.4780
Pa -4.9682 -3.0276 11.0644

=====

No. 7
4
Lattice="5.0462 0.1031 0.0000 -1.6136 4.7824 0.0000 0.0000 0.0000 3.1987" Properties=species:S:1:pos:R:3 comment="Pt2PbCl (PBE, optimized geometry)" dos_at_fermi_per_ev_atom=0.602 crystal_system=orthorhombic de_polymorph_mev_per_atom=480 sg="Cmmm, No. 65" vol_a3_per_cell=77.73 pbc="T T T"
Pt 1.7163 2.4428 0.0000
Pb -0.8068 2.3912 1.5994
Cl 2.5231 0.0516 1.5994
Pt 0.0000 0.0000 0.0000

=====

No. 8
20
Lattice="8.4237 0.0000 0.0000 0.0000 9.2297 0.0000 0.0000 0.0000 11.6768" Properties=species:S:1:pos:R:3 comment="Ba6Tl2CdO (PBE, optimized geometry)" dos_at_fermi_per_ev_atom=1.177 energy_ev_per_atom=-2.734 crystal_system=orthorhombic sg="Pmmn, No. 59" vol_a3_per_cell=907.85 pbc="T T T"
Ba 6.5119 0.2777 0.0000
Ba 0.0000 7.3712 2.6560
O 4.2118 2.1186 5.8384
Cd 4.2118 2.8207 0.0000
Cd 0.0000 6.4090 5.8384
Ba 4.2118 1.8584 3.1824
Ba 6.3383 3.7655 5.8384
O 0.0000 7.1110 0.0000
Ba 4.2118 1.8584 8.4944
Ba 6.1236 8.9520 5.8384
Ba 6.2972 5.4641 0.0000
Ba 1.9117 0.2777 0.0000
Tl 4.2118 7.5287 2.4406
Tl 4.2118 7.5287 9.2363
Tl 0.0000 1.7010 3.3978
Ba 2.3001 8.9520 5.8384
Ba 2.0854 3.7655 5.8384
Ba 0.0000 7.3712 9.0208
Ba 2.1265 5.4641 0.0000
Tl 0.0000 1.7010 8.2790